A plane-wave DFT calculation with PBE was carried out for an optimized crystal structure of KLiO3.

The space group is Pm-3m (No. 221) and the conventional cell measures 4.566, 4.566 and 4.566 Å, with angles of 90.00, 90.00 and 90.00 degrees. The asymmetric unit holds K at (0.000, 0.000, 0.000), Li at (0.500, 0.500, 0.500) and O at (0.000, 0.000, 0.500).

As for the final energy: -3.085 eV per atom. The value obtained for the uncorrected formation energy is 0.49 eV/atom.